Material: PSeI2N
Method: DFT, PBE-GGA
State: relaxed

abc: 5.902 5.902 3.671
angles: 90.00 90.00 90.00
Atoms (fractional coordinates):
P 0.000 0.000 0.000
Se 0.500 0.500 0.500
I 0.000 0.500 0.500
I 0.500 0.000 0.500
N 0.500 0.500 0.000

## Properties
Excess energy over the best structure of this formula in the dataset ... 536 meV/atom
Raw formation energy ... 1.2769 eV per atom

***

Material: BeReSiAg2
Method: DFT, PBE-GGA
State: relaxed

abc: 4.585 4.585 4.553
angles: 90.00 90.00 90.00
Atoms (fractional coordinates):
Be 0.000 0.000 0.000
Re 0.500 0.500 0.000
Si 0.500 0.500 0.500
Ag 0.000 0.500 0.500
Ag 0.500 0.000 0.500

## Properties
Raw formation energy ... 1.1941 eV per atom

***

Material: MgTaRu2
Method: DFT, PBE-GGA
State: relaxed

abc: 2.819 4.359 5.279
angles: 90.00 104.11 90.00
Atoms (fractional coordinates):
Mg 0.000 0.000 0.000
Ta 0.443 0.500 0.719
Ru 0.011 0.000 0.493
Ru 0.477 0.500 0.215

## Properties
DFT formation energy ... 3 meV/atom

***

Material: Tb2GaPt
Method: DFT, PBE-GGA
State: relaxed

abc: 3.567 3.567 7.048
angles: 90.00 90.00 90.00
Atoms (fractional coordinates):
Tb 0.000 0.000 0.239
Tb 0.000 0.000 0.761
Ga 0.500 0.500 0.500
Pt 0.500 0.500 0.000

## Properties
DFT formation energy ... -894 meV/atom

***

Material: Na3BiAu4
Method: DFT, PBE-GGA
State: relaxed

abc: 6.824 10.545 5.769
angles: 90.00 90.00 90.00
Atoms (fractional coordinates):
Na 0.000 0.000 0.000
Na 0.000 0.306 0.826
Na 0.000 0.694 0.826
Na 0.500 0.194 0.326
Na 0.500 0.500 0.500
Na 0.500 0.806 0.326
Bi 0.000 0.500 0.317
Bi 0.500 0.000 0.817
Au 0.000 0.221 0.339
Au 0.000 0.779 0.339
Au 0.197 0.000 0.504
Au 0.303 0.500 0.004
Au 0.500 0.279 0.839
Au 0.500 0.721 0.839
Au 0.697 0.500 0.004
Au 0.803 0.000 0.504

## Properties
DFT formation energy ... -230 meV/atom

***

Material: NaAlH8Rh2
Method: DFT, PBE-GGA
State: relaxed

abc: 6.424 6.424 6.424
angles: 41.53 41.53 41.53
Atoms (fractional coordinates):
Na 0.000 0.000 0.000
Al 0.500 0.500 0.500
H 0.115 0.562 0.565
H 0.300 0.300 0.300
H 0.435 0.885 0.438
H 0.438 0.435 0.885
H 0.562 0.565 0.115
H 0.565 0.115 0.562
H 0.700 0.700 0.700
H 0.885 0.438 0.435
Rh 0.211 0.211 0.211
Rh 0.789 0.789 0.789

## Properties
Energy ... -3.96 eV per atom

***

Material: BeIn3Co
Method: DFT, PBE-GGA
State: relaxed

abc: 4.932 4.932 4.932
angles: 90.00 90.00 90.00
Atoms (fractional coordinates):
Be 0.000 0.000 0.000
In 0.000 0.500 0.500
In 0.500 0.000 0.500
In 0.500 0.500 0.000
Co 0.500 0.500 0.500

## Properties
DFT formation energy ... 537 meV/atom
Excess energy over the best structure of this formula in the dataset ... 0 meV/atom

***

Material: AlP2RuCl
Method: DFT, PBE-GGA
State: relaxed

abc: 4.528 4.528 5.159
angles: 90.00 90.00 90.00
Atoms (fractional coordinates):
Al 0.000 0.000 0.000
P 0.000 0.500 0.500
P 0.500 0.000 0.500
Ru 0.500 0.500 0.500
Cl 0.500 0.500 0.000

## Properties
Excess energy over the best structure of this formula in the dataset ... 0 meV/atom
Raw formation energy ... 0.3715 eV per atom

***

What did the fourth record say?
Material: Tb2GaPt
Method: DFT, PBE-GGA
State: relaxed

abc: 3.567 3.567 7.048
angles: 90.00 90.00 90.00
Atoms (fractional coordinates):
Tb 0.000 0.000 0.239
Tb 0.000 0.000 0.761
Ga 0.500 0.500 0.500
Pt 0.500 0.500 0.000

## Properties
DFT formation energy ... -894 meV/atom